[1]
DFT (PBE) results for a relaxed ErTeSe crystal.

Cell and atoms, written as CIF:
```
data_ErTeSe
_symmetry_space_group_name_H-M 'I 4 m m'
_symmetry_Int_Tables_number 107
_symmetry_space_group_name_Hall 'I 4 -2'
_cell_length_a 3.7518
_cell_length_b 3.7518
_cell_length_c 10.9162
_cell_angle_alpha 90.00
_cell_angle_beta 90.00
_cell_angle_gamma 90.00
loop_
_atom_site_label
_atom_site_type_symbol
_atom_site_fract_x
_atom_site_fract_y
_atom_site_fract_z
_atom_site_occupancy
Er1 Er 0.0000 0.0000 0.0000 1
Te1 Te 0.0000 0.0000 0.3206 1
Se1 Se 0.0000 0.0000 0.6084 1
```

## Properties
Spin magnetization ... 0.000 μB per atom
Formation energy (no corrections) ... -1.135 eV/atom
Fermi-level density of states ... 1.9 states/eV/f.u.



[2]
DFT (PBE) results for a relaxed Sm3TeC crystal.

Cell and atoms, written as CIF:
```
data_Sm3TeC
_symmetry_space_group_name_H-M 'A m a 2'
_symmetry_Int_Tables_number 40
_cell_length_a 5.0856
_cell_length_b 15.3643
_cell_length_c 7.5209
_cell_angle_alpha 90.00
_cell_angle_beta 90.00
_cell_angle_gamma 90.00
loop_
_symmetry_equiv_pos_as_xyz
'x,y,z'
'-x,-y,z'
'-x+1/2,y,z'
'x+1/2,-y,z'
'x,y+1/2,z+1/2'
'-x,-y+1/2,z+1/2'
'-x+1/2,y+1/2,z+1/2'
'x+1/2,-y+1/2,z+1/2'
loop_
_atom_site_label
_atom_site_type_symbol
_atom_site_fract_x
_atom_site_fract_y
_atom_site_fract_z
_atom_site_occupancy
Sm1 Sm 0.2500 0.0700 0.0000 1
Sm2 Sm 0.2500 0.2927 0.3310 1
Sm3 Sm 0.2500 0.4002 0.8325 1
Te1 Te 0.2500 0.1373 0.6025 1
C1 C 0.2500 0.4093 0.5258 1
```

## Properties
Spin magnetization ... 0.000 μB per atom
Formation energy (no corrections) ... -0.458 eV/atom
Fermi-level density of states ... 2.9 states/eV/f.u.